VASP calculation (PBE) on a geometry-optimized Ga3GeP structure.

Geometry as POSCAR:
```
Ga3GeP
1.0
4.8586 0.0000 0.0000
0.0000 4.8586 0.0000
0.0000 0.0000 4.8586
Ga Ge P
3 1 1
Direct
0.0000 0.0000 0.5000
0.0000 0.5000 0.0000
0.5000 0.0000 0.0000
0.0000 0.0000 0.0000
0.5000 0.5000 0.5000
```

Output
Calculated density: 4.529 Mg/m³
Energy of formation from the pure elements: 0.584 eV/atom
E: -3.237 eV/atom
Space-group type: No. 221